# Ca2SiP3, relaxed, DFT PBE
data_Ca2SiP3
_chemical_formula_sum 'Ca2 Si1 P3'
_cell_length_a 4.0913
_cell_length_b 4.0913
_cell_length_c 9.3279
_cell_angle_alpha 90.00
_cell_angle_beta 90.00
_cell_angle_gamma 120.00
_space_group_name_H-M_alt 'P -6 m 2'
_space_group_IT_number 187
_space_group_name_Hall 'P -6 2'
loop_
_atom_site_label
_atom_site_type_symbol
_atom_site_fract_x
_atom_site_fract_y
_atom_site_fract_z
Ca1 Ca 0.0000 0.0000 0.1848
Si1 Si 0.6667 0.3333 0.5000
P1 P 0.3333 0.6667 0.0000
P2 P 0.3333 0.6667 0.3821
# VASP energy, eV per atom: -4.687
# Volume, A^3/atom: 22.537
# Formation energy (no corrections), eV/atom: -0.411